[1]
DFT (GGA-PBE) results for crystalline TlFeSi3 at its relaxed geometry.

Properties
Fermi-level density of states in states/eV per atom: 0.619
Calculated total energy in Ry per atom: -0.3729
Space-group type: Pm-3m
Formation energy (no corrections) in kcal/mol of atoms: 7.97

Cell: 4.497 4.497 4.497 Å, 90.00 90.00 90.00°
Element x y z (fractional)
Tl: 0.000 0.000 0.000
Fe: 0.500 0.500 0.500
Si: 0.000 0.500 0.500
Si: 0.500 0.000 0.500
Si: 0.500 0.500 0.000

[2]
DFT (GGA-PBE) results for crystalline TlFe2Si at its relaxed geometry.

Properties
Fermi-level density of states in states/eV per atom: 1.190
Calculated total energy in Ry per atom: -0.4144
Space-group type: P4/mmm
Formation energy (no corrections) in kcal/mol of atoms: 12.47

Cell: 4.254 4.254 3.021 Å, 90.00 90.00 90.00°
Element x y z (fractional)
Tl: 0.000 0.000 0.000
Fe: 0.000 0.500 0.500
Fe: 0.500 0.000 0.500
Si: 0.500 0.500 0.000

[3]
DFT (GGA-PBE) results for crystalline TlFe2Si at its relaxed geometry.

Properties
Fermi-level density of states in states/eV per atom: 0.889
Calculated total energy in Ry per atom: -0.4233
Space-group type: Immm
Formation energy (no corrections) in kcal/mol of atoms: 9.68

Cell: 4.677 4.677 4.677 Å, 135.71 119.63 77.87°
Element x y z (fractional)
Tl: 0.000 0.000 0.000
Fe: 0.297 0.797 0.500
Fe: 0.703 0.203 0.500
Si: 0.500 0.500 0.000

[4]
DFT (GGA-PBE) results for crystalline TlFe2Si at its relaxed geometry.

Properties
Fermi-level density of states in states/eV per atom: 1.303
Calculated total energy in Ry per atom: -0.4101
Space-group type: I-42d
Formation energy (no corrections) in kcal/mol of atoms: 13.81

Cell: 8.869 8.869 8.869 Å, 153.00 153.00 38.56°
Element x y z (fractional)
Tl: 0.000 0.000 0.000
Tl: 0.750 0.250 0.500
Fe: 0.230 0.625 0.105
Fe: 0.375 0.480 0.605
Fe: 0.520 0.125 0.895
Fe: 0.875 0.770 0.395
Si: 0.250 0.750 0.500
Si: 0.500 0.500 0.000

[5]
DFT (GGA-PBE) results for crystalline TlFe2Si at its relaxed geometry.

Properties
Fermi-level density of states in states/eV per atom: 0.857
Calculated total energy in Ry per atom: -0.4399
Space-group type: P2/m
Formation energy (no corrections) in kcal/mol of atoms: 4.48

Cell: 3.022 2.915 6.875 Å, 90.00 98.11 90.00°
Element x y z (fractional)
Tl: 0.000 0.000 0.000
Fe: 0.445 0.500 0.325
Fe: 0.555 0.500 0.675
Si: 0.000 0.000 0.500

[6]
DFT (GGA-PBE) results for crystalline TlFe2Si at its relaxed geometry.

Properties
Fermi-level density of states in states/eV per atom: 0.877
Calculated total energy in Ry per atom: -0.4303
Space-group type: Pm
Formation energy (no corrections) in kcal/mol of atoms: 7.49

Cell: 2.846 3.669 6.451 Å, 90.00 100.41 90.00°
Element x y z (fractional)
Tl: 0.000 0.000 0.000
Fe: 0.612 0.500 0.277
Fe: 0.724 0.000 0.548
Si: 0.236 0.500 0.582

[7]
DFT (GGA-PBE) results for crystalline TlFe2Si at its relaxed geometry.

Properties
Fermi-level density of states in states/eV per atom: 0.565
Calculated total energy in Ry per atom: -0.4042
Space-group type: F-43m
Formation energy (no corrections) in kcal/mol of atoms: 15.65

Cell: 4.421 4.421 4.421 Å, 60.00 60.00 60.00°
Element x y z (fractional)
Tl: 0.000 0.000 0.000
Fe: 0.500 0.500 0.500
Fe: 0.750 0.750 0.750
Si: 0.250 0.250 0.250

[8]
DFT (GGA-PBE) results for crystalline TlFe2Si at its relaxed geometry.

Properties
Fermi-level density of states in states/eV per atom: 0.972
Calculated total energy in Ry per atom: -0.4378
Space-group type: Imm2
Formation energy (no corrections) in kcal/mol of atoms: 5.13

Cell: 6.668 6.668 6.668 Å, 155.28 149.01 40.04°
Element x y z (fractional)
Tl: 0.000 0.000 0.000
Fe: 0.195 0.695 0.500
Fe: 0.359 0.359 0.000
Si: 0.735 0.235 0.500

| no. | M_tot (μB per formula unit) |
| --- | --- |
| 1 | 0.00 |
| 2 | 0.57 |
| 3 | 3.43 |
| 4 | 4.83 |
| 5 | 3.38 |
| 6 | 3.75 |
| 7 | 4.30 |
| 8 | 3.26 |